{"formula": "Y3Sn4BiO14", "functional": "GGA-PBE", "state": "relaxed", "lattice": [[-1.865, 6.924, 2.055], [-6.239, 3.103, -2.665], [-5.829, 1.078, 4.529]], "species": ["O", "O", "O", "O", "O", "O", "O", "O", "O", "O", "O", "O", "O", "O", "Sn", "Sn", "Sn", "Sn", "Y", "Y", "Y", "Bi"], "frac_coords": [[0.913, 0.913, 0.337], [0.629, 0.629, 0.629], [0.918, 0.337, 0.337], [0.913, 0.337, 0.913], [0.337, 0.918, 0.337], [0.082, 0.663, 0.663], [0.087, 0.663, 0.087], [0.663, 0.082, 0.663], [0.663, 0.087, 0.087], [0.087, 0.087, 0.663], [0.371, 0.371, 0.371], [0.663, 0.663, 0.082], [0.337, 0.337, 0.918], [0.337, 0.913, 0.913], [0.000, 0.000, 0.000], [0.000, 0.500, 0.000], [0.000, 0.000, 0.500], [0.500, 0.000, 0.000], [0.000, 0.500, 0.500], [0.500, 0.000, 0.500], [0.500, 0.500, 0.000], [0.500, 0.500, 0.500]], "e_tot_ev_per_atom": -7.241, "magmom_total_mub_per_atom": 0.0000}